No. 1
MnTc2Ge4 | PBE | relaxed

Results
E_tot, eV per atom: -6.980
Symmetry: C2/m
Energy relative to the lowest polymorph listed for this composition, meV per atom: 0.0
Total magnetic moment, μB/atom: 0.03
Formation enthalpy at 0 K, eV per atom: -0.070

a b c (Å): 7.113 7.113 5.513
angles (deg): 111.38 111.38 25.23
Sites, in units of the cell vectors:
Mn1 0.000 0.000 0.000
Tc1 0.249 0.249 0.253
Tc2 0.751 0.751 0.747
Ge1 0.115 0.115 0.780
Ge2 0.392 0.392 0.691
Ge3 0.608 0.608 0.309
Ge4 0.885 0.885 0.220

=====

No. 2
MnTc2Ge4 | PBE | relaxed

Results
E_tot, eV per atom: -6.345
Symmetry: I4/mmm
Energy relative to the lowest polymorph listed for this composition, meV per atom: 635.2
Total magnetic moment, μB/atom: 0.62
Formation enthalpy at 0 K, eV per atom: 0.565

a b c (Å): 6.969 6.969 6.969
angles (deg): 141.63 141.63 55.38
Sites, in units of the cell vectors:
Mn1 0.000 0.000 0.000
Tc1 0.394 0.394 0.000
Tc2 0.606 0.606 0.000
Ge1 0.000 0.500 0.500
Ge2 0.193 0.193 0.000
Ge3 0.500 0.000 0.500
Ge4 0.807 0.807 0.000